No. 1
DFT (GGA-PBE) results for a relaxed Dy3Tm4Sc5 crystal.

extended XYZ file:
```
12
Lattice="7.611 -2.823 0.000 7.611 2.823 0.000 -4.543 0.000 7.997" Properties=species:S:1:pos:R:3 pbc="T T T"
Dy 0.000 0.000 0.000
Dy 0.803 0.000 5.925
Dy 9.876 0.000 2.071
Tm 3.904 0.000 0.952
Tm 3.786 0.000 4.464
Tm 6.893 0.000 3.533
Tm 6.774 0.000 7.045
Sc -2.229 0.000 5.597
Sc 0.888 0.000 2.912
Sc 7.611 0.000 0.000
Sc 9.791 0.000 5.084
Sc 12.908 0.000 2.399
```

* symmetry: No. 12
* uncorrected energy: -60.33 eV per cell
* total moment: 0.74 μB per cell
* N(E_F): 1.72 states/eV/atom

No. 2
DFT (GGA-PBE) results for a relaxed Dy4Tm3Sc crystal.

extended XYZ file:
```
16
Lattice="11.048 0.000 0.000 0.000 7.132 0.000 0.000 0.000 6.169" Properties=species:S:1:pos:R:3 pbc="T T T"
Dy 0.000 0.912 0.000
Dy 0.000 6.221 3.048
Dy 2.723 6.217 5.138
Dy 2.800 0.915 2.053
Dy 5.524 0.911 6.132
Dy 5.524 6.220 3.085
Dy 8.247 0.915 2.053
Dy 8.324 6.217 5.138
Tm 0.000 2.693 3.065
Tm 2.756 2.697 5.110
Tm 2.768 4.435 2.025
Tm 5.524 4.439 6.150
Tm 8.280 4.435 2.025
Tm 8.292 2.697 5.110
Sc 0.000 4.437 6.148
Sc 5.524 2.695 3.064
```

* symmetry: No. 31
* uncorrected energy: -76.12 eV per cell
* total moment: 0.00 μB per cell
* N(E_F): 1.74 states/eV/atom
* relative energy among the computed polymorphs: 0 meV/atom

No. 3
DFT (GGA-PBE) results for a relaxed Dy12TmSc5 crystal.

extended XYZ file:
```
18
Lattice="2.457 -7.382 0.000 2.457 7.382 0.000 0.000 0.000 14.562" Properties=species:S:1:pos:R:3 pbc="T T T"
Dy 0.000 0.000 2.339
Dy 0.000 0.000 12.223
Dy 2.457 4.909 4.886
Dy 2.457 4.909 9.676
Dy 2.457 2.463 2.332
Dy 2.457 2.463 12.230
Dy 2.457 0.000 4.874
Dy 2.457 0.000 9.688
Dy 2.457 -2.463 2.332
Dy 2.457 -2.463 12.230
Dy 2.457 -4.909 4.886
Dy 2.457 -4.909 9.676
Tm 0.000 0.000 7.281
Sc 2.457 4.923 0.000
Sc 2.457 2.486 7.281
Sc 2.457 0.000 0.000
Sc 2.457 -2.486 7.281
Sc 2.457 -4.923 0.000
```

* symmetry: No. 65
* uncorrected energy: -90.61 eV per cell
* total moment: 0.00 μB per cell
* N(E_F): 1.49 states/eV/atom

No. 4
DFT (GGA-PBE) results for a relaxed Dy2Tm8Sc3 crystal.

extended XYZ file:
```
13
Lattice="3.703 -9.808 0.000 3.703 9.808 0.000 0.000 0.000 5.417" Properties=species:S:1:pos:R:3 pbc="T T T"
Dy 3.703 5.098 0.000
Dy 3.703 -5.098 0.000
Tm 3.703 7.330 2.708
Tm 2.127 2.011 0.000
Tm 3.703 3.181 2.708
Tm 2.127 -2.011 0.000
Tm 5.279 2.011 0.000
Tm 3.703 -3.181 2.708
Tm 5.279 -2.011 0.000
Tm 3.703 -7.330 2.708
Sc 0.000 0.000 0.000
Sc 2.141 0.000 2.708
Sc 5.265 0.000 2.708
```

* symmetry: No. 65
* uncorrected energy: -60.88 eV per cell
* total moment: 0.00 μB per cell
* N(E_F): 1.64 states/eV/atom
* relative energy among the computed polymorphs: 53 meV/atom

No. 5
DFT (GGA-PBE) results for a relaxed Dy5TmSc crystal.

extended XYZ file:
```
14
Lattice="8.041 0.000 0.000 0.000 11.381 0.000 0.000 0.000 5.967" Properties=species:S:1:pos:R:3 pbc="T T T"
Dy 0.000 0.000 0.000
Dy 0.000 2.865 4.390
Dy 0.000 8.515 4.390
Dy 1.415 5.690 1.413
Dy 2.606 0.000 4.396
Dy 4.021 2.825 1.407
Dy 4.021 5.690 2.983
Dy 4.021 8.556 1.407
Dy 5.435 0.000 4.396
Dy 6.627 5.690 1.413
Tm 0.000 0.000 2.854
Tm 4.021 5.690 5.837
Sc 0.000 5.690 4.400
Sc 4.021 0.000 1.417
```

* symmetry: No. 44
* uncorrected energy: -54.09 eV per cell
* total moment: 0.00 μB per cell
* N(E_F): 1.27 states/eV/atom
* relative energy among the computed polymorphs: 756 meV/atom

No. 6
DFT (GGA-PBE) results for a relaxed Dy3Tm7Sc crystal.

extended XYZ file:
```
11
Lattice="6.689 0.000 0.000 0.000 5.355 0.000 -2.370 0.000 9.450" Properties=species:S:1:pos:R:3 pbc="T T T"
Dy 0.000 0.000 0.000
Dy 0.664 2.677 4.516
Dy 3.655 2.677 4.934
Tm -1.185 0.000 4.725
Tm -0.745 2.677 7.414
Tm 1.808 2.677 1.169
Tm 2.340 0.000 3.089
Tm 1.979 0.000 6.361
Tm 2.510 2.677 8.281
Tm 5.063 2.677 2.036
Sc 3.345 0.000 0.000
```

* symmetry: No. 10
* uncorrected energy: -49.62 eV per cell
* total moment: 0.00 μB per cell
* N(E_F): 1.54 states/eV/atom
* relative energy among the computed polymorphs: 0 meV/atom